ScIrSe2N | the Alexandria database | PBE | optimized geometry; space group = No. 123; ΔE_f (raw) = -4.1 kcal/mol of atoms; DFT total energy = -6.273 eV/atom; relative energy among the computed polymorphs = 0.000 eV per atom
1.0
-3.426 -3.127 2.185
2.324 -4.040 -2.137
2.171 -0.314 2.955
N Sc Ir Se
1 1 1 2
Direct
0.000 0.000 0.500
0.500 0.500 0.500
0.000 0.000 0.000
0.000 0.500 0.000
0.500 0.000 0.000



SrGeOs3 | the Alexandria database | PBE | optimized geometry; space group = No. 221; DFT total energy = -6.775 eV/atom; relative energy among the computed polymorphs = 0.000 eV per atom; energy of formation from the pure elements = 1.223 eV/atom
1.0
4.674 0.000 0.000
0.000 4.674 0.000
0.000 0.000 4.674
Ge Sr Os
1 1 3
Direct
0.000 0.000 0.000
0.500 0.500 0.500
0.000 0.000 0.500
0.000 0.500 0.000
0.500 0.000 0.000



YTi2Pt | the Alexandria database | PBE | optimized geometry; space group = No. 8; DFT total energy = -7.494 eV/atom; relative energy among the computed polymorphs = 0.099 eV per atom; energy of formation from the pure elements = -0.421 eV/atom
1.0
10.122 0.000 -0.001
0.000 3.187 0.000
-5.646 0.000 9.847
Ti Pt Y
8 4 4
Direct
0.800 0.000 0.064
0.967 0.000 0.801
0.018 0.500 0.036
0.394 0.500 0.338
0.018 0.000 0.536
0.394 0.000 0.838
0.967 0.500 0.301
0.800 0.500 0.564
0.583 0.500 0.033
0.148 0.500 0.752
0.148 0.000 0.252
0.583 0.000 0.533
0.300 0.000 0.052
0.668 0.000 0.283
0.300 0.500 0.552
0.668 0.500 0.783



SiHgIO2 | the Alexandria database | PBE | optimized geometry; space group = No. 123; ΔE_f (raw) = 15.7 kcal/mol of atoms; DFT total energy = -2.758 eV/atom; relative energy among the computed polymorphs = 1.108 eV per atom
1.0
4.231 0.000 0.000
0.000 4.231 0.000
0.000 0.000 6.380
Hg O I Si
1 2 1 1
Direct
0.000 0.000 0.000
0.000 0.500 0.000
0.500 0.000 0.000
0.000 0.000 0.500
0.500 0.500 0.500



CeErScOs | the Alexandria database | PBE | optimized geometry; space group = No. 216; DFT total energy = -7.014 eV/atom; energy of formation from the pure elements = 0.000 eV/atom
1.0
5.013 0.000 0.000
2.507 4.342 0.000
2.507 1.447 4.093
Os Sc Ce Er
1 1 1 1
Direct
0.250 0.250 0.250
0.750 0.750 0.750
0.000 0.000 0.000
0.500 0.500 0.500



La11Dy4Ho9 | the Alexandria database | PBE | optimized geometry; space group = No. 65; DFT total energy = -4.673 eV/atom; energy of formation from the pure elements = 0.069 eV/atom
1.0
3.703 0.000 0.000
0.000 14.307 -6.097
0.000 0.016 15.552
La Ho Dy
11 9 4
Direct
0.000 0.293 0.293
0.000 0.043 0.405
0.000 0.840 0.160
0.000 0.632 0.368
0.000 0.160 0.840
0.000 0.957 0.595
0.000 0.368 0.632
0.000 0.405 0.043
0.000 0.595 0.957
0.000 0.707 0.707
0.000 0.000 0.000
0.500 0.631 0.166
0.500 0.069 0.214
0.500 0.166 0.631
0.500 0.214 0.069
0.500 0.834 0.369
0.500 0.786 0.931
0.500 0.500 0.500
0.500 0.369 0.834
0.500 0.931 0.786
0.500 0.759 0.555
0.500 0.555 0.759
0.500 0.241 0.445
0.500 0.445 0.241